# 1
A geometry-optimized SrPr2RuO8 structure. Source: the Alexandria database, functional PBE-GGA.

a b c (Å): 5.2821 4.3725 7.1631
angles (deg): 72.64 90.00 89.87
Fractional positions:
Pr 0.5042 0.3687 0.7961
Pr 0.4958 0.6313 0.2039
O 0.9932 0.3514 0.7454
O 0.5038 0.8316 0.4988
O 0.7520 0.1964 0.1189
O 0.2790 0.1814 0.1096
O 0.0068 0.6486 0.2546
O 0.4962 0.1684 0.5012
O 0.2480 0.8036 0.8811
O 0.7210 0.8186 0.8904
Sr 0.0000 0.0000 0.5000
Ru 0.0000 0.0000 0.0000

**Formation energy from raw total energies**: -2446 kJ/mol of formula units

=====

# 2
A geometry-optimized Y2ZrRu structure. Source: the Alexandria database, functional PBE-GGA.

a b c (Å): 5.0283 5.0283 5.0283
angles (deg): 60.00 60.00 60.00
Fractional positions:
Y 0.0000 0.0000 0.0000
Y 0.2500 0.2500 0.2500
Ru 0.5000 0.5000 0.5000
Zr 0.7500 0.7500 0.7500

**Formation enthalpy at 0 K**: 0.106 eV per atom

=====

# 3
A geometry-optimized NdDyTm2 structure. Source: the Alexandria database, functional PBE-GGA.

a b c (Å): 3.5541 3.5541 10.0224
angles (deg): 90.00 90.00 90.00
Fractional positions:
Nd 0.5000 0.5000 0.5000
Tm 0.0000 0.0000 0.2455
Tm 0.0000 0.0000 0.7545
Dy 0.5000 0.5000 0.0000

**Formation enthalpy at 0 K**: 0.027 eV per atom

=====

# 4
A geometry-optimized Hf2AlNi structure. Source: the Alexandria database, functional PBE-GGA.

a b c (Å): 7.3222 7.3222 5.8980
angles (deg): 51.63 51.63 90.00
Fractional positions:
Ni 0.0000 0.0000 0.0000
Ni 0.7500 0.2500 0.5000
Al 0.5000 0.5000 0.0000
Al 0.2500 0.7500 0.5000
Hf 0.3750 0.3283 0.7500
Hf 0.0783 0.6250 0.2500
Hf 0.6717 0.1250 0.2500
Hf 0.8750 0.9217 0.7500

**Formation enthalpy at 0 K**: 0.030 eV per atom